VASP calculation (PBE) on a geometry-optimized NdPdAu structure.

```
data_NdPdAu
_chemical_formula_sum 'Nd4 Pd4 Au4'
_symmetry_space_group_name_H-M 'P 1'
_symmetry_Int_Tables_number 1
_cell_length_a 6.7369
_cell_length_b 5.7253
_cell_length_c 7.4162
_cell_angle_alpha 90.00
_cell_angle_beta 110.63
_cell_angle_gamma 90.00
loop_
_symmetry_equiv_pos_as_xyz
'x,y,z'
loop_
_atom_site_label
_atom_site_type_symbol
_atom_site_fract_x
_atom_site_fract_y
_atom_site_fract_z
_atom_site_occupancy
Nd1 Nd 0.2259 0.1388 0.3886 1
Nd2 Nd 0.2259 0.3612 0.8886 1
Nd3 Nd 0.7741 0.6388 0.1114 1
Nd4 Nd 0.7741 0.8612 0.6114 1
Pd1 Pd 0.4377 0.5774 0.2953 1
Pd2 Pd 0.4377 0.9226 0.7953 1
Pd3 Pd 0.5623 0.0774 0.2047 1
Pd4 Pd 0.5623 0.4226 0.7047 1
Au1 Au 0.1655 0.6512 0.5096 1
Au2 Au 0.1655 0.8488 0.0096 1
Au3 Au 0.8345 0.1512 0.9904 1
Au4 Au 0.8345 0.3488 0.4904 1
```

Summary:
Its total energy is -5.175 eV/atom. As for the space group: P2_1/c, No. 14. The energy of formation is -0.7627 eV per atom.